1.
An optimized crystal structure of CaAlMo, computed with PBE.

Calculated values
Polymorph energy (0 for the lowest one): 1.130 eV per atom
Crystal system: cubic
Total DFT energy (no corrections): -4.137 eV/atom
Calculated formation energy: 1.388 eV/atom

Cell and atoms, written as CIF:
```
data_CaAlMo
_chemical_formula_sum 'Ca4 Al4 Mo4'
_symmetry_space_group_name_H-M 'F -4 3 m'
_symmetry_Int_Tables_number 216
_symmetry_space_group_name_Hall 'F -4 2 3'
_cell_length_a 6.8088
_cell_length_b 6.8088
_cell_length_c 6.8088
_cell_angle_alpha 90.00
_cell_angle_beta 90.00
_cell_angle_gamma 90.00
loop_
_atom_site_label
_atom_site_fract_x
_atom_site_fract_y
_atom_site_fract_z
_atom_site_occupancy
Ca1 0.0000 0.0000 0.0000 1
Al1 0.2500 0.2500 0.2500 1
Mo1 0.2500 0.2500 0.7500 1
```


2.
An optimized crystal structure of CaAlNi2Mo, computed with PBE.

Calculated values
Crystal system: tetragonal
Total DFT energy (no corrections): -4.529 eV/atom
Calculated formation energy: 1.099 eV/atom

Cell and atoms, written as CIF:
```
data_CaAlNi2Mo
_chemical_formula_sum 'Ca1 Al1 Ni2 Mo1'
_symmetry_space_group_name_H-M 'P 4/m m m'
_symmetry_Int_Tables_number 123
_symmetry_space_group_name_Hall '-P 4 2'
_cell_length_a 4.3664
_cell_length_b 4.3664
_cell_length_c 5.0971
_cell_angle_alpha 90.00
_cell_angle_beta 90.00
_cell_angle_gamma 90.00
loop_
_atom_site_label
_atom_site_fract_x
_atom_site_fract_y
_atom_site_fract_z
_atom_site_occupancy
Ca1 0.0000 0.0000 0.0000 1
Al1 0.0000 0.0000 0.5000 1
Ni1 0.0000 0.5000 0.5000 1
Mo1 0.5000 0.5000 0.0000 1
```


Q: calculated formation energy of number 1 (CaAlMo)?
A: 1.388 eV/atom


Q: What is the total DFT energy (no corrections) in the first record?
A: -4.137 eV/atom


Q: Among the records above, which one has the highest calculated formation energy?
A: CaAlMo


Q: The highest calculated formation energy belongs to which entry?
A: CaAlMo